[1]
A plane-wave DFT calculation with PBE-GGA was carried out for a relaxed ThGaNiC crystal.

CIF file:
```
data_ThGaNiC
_cell_length_a 3.814
_cell_length_b 3.814
_cell_length_c 9.099
_cell_angle_alpha 90.00
_cell_angle_beta 90.00
_cell_angle_gamma 90.00
_symmetry_space_group_name_H-M 'P 4/n m m'
_symmetry_Int_Tables_number 129
loop_
_symmetry_equiv_pos_as_xyz
'x,y,z'
'-x,-y,-z'
'-y+1/2,x,z'
'y+1/2,-x,-z'
'-x+1/2,-y+1/2,z'
'x+1/2,y+1/2,-z'
'y,-x+1/2,z'
'-y,x+1/2,-z'
'x+1/2,-y,-z'
'-x+1/2,y,z'
'-y,-x,-z'
'y,x,z'
'-x,y+1/2,-z'
'x,-y+1/2,z'
'y+1/2,x+1/2,-z'
'-y+1/2,-x+1/2,z'
loop_
_atom_site_label
_atom_site_type_symbol
_atom_site_fract_x
_atom_site_fract_y
_atom_site_fract_z
Th1 Th 0.250 0.250 0.146
Ga1 Ga 0.250 0.250 0.658
Ni1 Ni 0.250 0.750 0.500
C1 C 0.250 0.250 0.881
```

magnetic moment: 0.00 μB per formula unit
ΔH_f (0 K): -1.35 eV per formula unit
electronic total energy: -6.7007 eV/atom

---

[2]
A plane-wave DFT calculation with PBE-GGA was carried out for a relaxed GaHPt4 crystal.

CIF file:
```
data_GaHPt4
_cell_length_a 7.350
_cell_length_b 7.350
_cell_length_c 6.934
_cell_angle_alpha 90.00
_cell_angle_beta 90.00
_cell_angle_gamma 90.00
_symmetry_space_group_name_H-M 'I 41 m d'
_symmetry_Int_Tables_number 109
_symmetry_space_group_name_Hall 'I 4bw -2'
loop_
_atom_site_label
_atom_site_type_symbol
_atom_site_fract_x
_atom_site_fract_y
_atom_site_fract_z
Ga1 Ga 0.000 0.000 0.000
H1 H 0.000 0.000 0.385
Pt1 Pt 0.000 0.288 0.526
Pt2 Pt 0.000 0.316 0.936
```

magnetic moment: 0.00 μB per formula unit
electronic total energy: -4.9259 eV/atom
energy above the most stable polymorph in this dataset: 317 meV/atom

---

[3]
A plane-wave DFT calculation with PBE-GGA was carried out for a relaxed PrDy7In4 crystal.

CIF file:
```
data_PrDy7In4
_cell_length_a 14.481
_cell_length_b 5.680
_cell_length_c 10.552
_cell_angle_alpha 90.00
_cell_angle_beta 123.84
_cell_angle_gamma 90.00
_symmetry_space_group_name_H-M 'C 1 2/m 1'
_symmetry_Int_Tables_number 12
_symmetry_space_group_name_Hall '-C 2y'
loop_
_atom_site_label
_atom_site_type_symbol
_atom_site_fract_x
_atom_site_fract_y
_atom_site_fract_z
Pr1 Pr 0.000 0.000 0.000
Dy1 Dy 0.000 0.500 0.000
Dy2 Dy 0.063 0.000 0.395
Dy3 Dy 0.211 0.000 0.876
Dy4 Dy 0.216 0.500 0.654
In1 In 0.061 0.500 0.760
In2 In 0.182 0.500 0.333
```

magnetic moment: 0.00 μB per formula unit
ΔH_f (0 K): -1.27 eV per formula unit
electronic total energy: -4.1014 eV/atom

---

[4]
A plane-wave DFT calculation with PBE-GGA was carried out for a relaxed K2RbTlF6 crystal.

CIF file:
```
data_K2RbTlF6
_cell_length_a 9.613
_cell_length_b 9.613
_cell_length_c 9.613
_cell_angle_alpha 90.00
_cell_angle_beta 90.00
_cell_angle_gamma 90.00
_symmetry_space_group_name_H-M 'F m -3 m'
_symmetry_Int_Tables_number 225
_symmetry_space_group_name_Hall '-F 4 2 3'
loop_
_atom_site_label
_atom_site_type_symbol
_atom_site_fract_x
_atom_site_fract_y
_atom_site_fract_z
K1 K 0.250 0.250 0.250
Rb1 Rb 0.000 0.000 0.000
Tl1 Tl 0.000 0.000 0.500
F1 F 0.000 0.000 0.272
```

magnetic moment: 0.00 μB per formula unit
electronic total energy: -4.0536 eV/atom
energy relative to the elements, uncorrected: -2.3780 eV/atom

---

[5]
A plane-wave DFT calculation with PBE-GGA was carried out for a relaxed BiPd9Pt2 crystal.

CIF file:
```
data_BiPd9Pt2
_cell_length_a 4.021
_cell_length_b 4.021
_cell_length_c 11.983
_cell_angle_alpha 90.00
_cell_angle_beta 90.00
_cell_angle_gamma 90.00
_symmetry_space_group_name_H-M 'P 4/m m m'
_symmetry_Int_Tables_number 123
_symmetry_space_group_name_Hall '-P 4 2'
loop_
_atom_site_label
_atom_site_type_symbol
_atom_site_fract_x
_atom_site_fract_y
_atom_site_fract_z
Bi1 Bi 0.000 0.000 0.000
Pd1 Pd 0.000 0.500 0.176
Pd2 Pd 0.000 0.500 0.500
Pd3 Pd 0.500 0.500 0.000
Pd4 Pd 0.500 0.500 0.336
Pt1 Pt 0.000 0.000 0.343
```

magnetic moment: 0.01 μB per formula unit
ΔH_f (0 K): -1.03 eV per formula unit
electronic total energy: -5.3105 eV/atom